Y2Ho2Th: optimized geometry, PBE-GGA.

```
Y2Ho2Th
1.0
0.000 5.708 11.386
2.833 0.000 11.386
2.833 5.708 0.000
Y Ho Th
4 4 2
Direct
0.044 0.706 0.044
0.294 0.956 0.294
0.706 0.044 0.706
0.956 0.294 0.956
0.000 0.500 0.500
0.500 0.000 0.500
0.500 0.500 0.000
0.500 0.500 0.500
0.375 0.375 0.375
0.625 0.625 0.625
```

Computed properties:
**Distance to the lowest polymorph of the same formula**: 508 meV per atom
**Calculated density**: 6.7 g/cm3
**Magnetic moment**: 0.00 μB per cell
**ΔE_f**: 0.53 eV per atom



CaAs2: optimized geometry, PBE-GGA.

```
CaAs2
1.0
3.801 0.000 0.000
-1.901 3.292 0.000
0.000 0.000 6.037
Ca As
1 2
Direct
0.000 0.000 0.000
0.333 0.667 0.374
0.667 0.333 0.626
```

Computed properties:
**Calculated density**: 4.2 g/cm3
**Magnetic moment**: 0.00 μB per cell
**ΔE_f**: -0.21 eV per atom



NpHgGe2: optimized geometry, PBE-GGA.

```
NpHgGe2
1.0
2.366 1.366 7.090
-2.366 1.366 7.090
0.000 -2.732 7.090
Np Hg Ge
1 1 2
Direct
0.000 0.000 0.000
0.500 0.500 0.500
0.376 0.376 0.376
0.624 0.624 0.624
```

Computed properties:
**Distance to the lowest polymorph of the same formula**: 592 meV per atom
**Calculated density**: 7.0 g/cm3
**Magnetic moment**: 4.21 μB per cell
**ΔE_f**: 0.52 eV per atom



DyZn6Au12: optimized geometry, PBE-GGA.

```
DyZn6Au12
1.0
5.997 3.462 2.883
-5.997 3.462 2.883
0.000 -6.925 2.883
Dy Zn Au
1 6 12
Direct
0.000 0.000 0.000
0.290 0.290 0.693
0.290 0.693 0.290
0.307 0.710 0.710
0.693 0.290 0.290
0.710 0.307 0.710
0.710 0.710 0.307
0.119 0.365 0.365
0.119 0.500 0.881
0.119 0.881 0.500
0.365 0.119 0.365
0.365 0.365 0.119
0.500 0.119 0.881
0.500 0.881 0.119
0.635 0.635 0.881
0.635 0.881 0.635
0.881 0.119 0.500
0.881 0.500 0.119
0.881 0.635 0.635
```

Computed properties:
**Calculated density**: 13.5 g/cm3
**Magnetic moment**: 0.00 μB per cell
**ΔE_f**: -0.19 eV per atom



BeAlCu6: optimized geometry, PBE-GGA.

```
BeAlCu6
1.0
3.774 0.000 0.000
0.000 3.774 0.000
0.000 0.000 6.601
Be Al Cu
1 1 6
Direct
0.000 0.000 0.000
0.000 0.000 0.500
0.000 0.500 0.236
0.000 0.500 0.764
0.500 0.000 0.236
0.500 0.000 0.764
0.500 0.500 0.000
0.500 0.500 0.500
```

Computed properties:
**Calculated density**: 7.4 g/cm3
**Magnetic moment**: 0.00 μB per cell
**ΔE_f**: -0.09 eV per atom



La8PrTl2: optimized geometry, PBE-GGA.

```
La8PrTl2
1.0
-2.647 4.553 8.054
2.647 -4.553 8.054
2.647 4.553 -8.054
La Pr Tl
8 1 2
Direct
0.120 0.339 0.781
0.148 0.148 0.000
0.325 0.000 0.325
0.442 0.661 0.781
0.558 0.339 0.219
0.675 0.000 0.675
0.852 0.852 0.000
0.880 0.661 0.219
0.000 0.500 0.500
0.305 0.805 0.500
0.695 0.195 0.500
```

Computed properties:
**Distance to the lowest polymorph of the same formula**: 0 meV per atom
**Calculated density**: 7.1 g/cm3
**Magnetic moment**: 0.00 μB per cell
**ΔE_f**: -0.10 eV per atom



Sm4CSe2Br: optimized geometry, PBE-GGA.

```
Sm4CSe2Br
1.0
7.013 0.000 0.000
0.000 3.982 0.000
-2.292 0.000 6.945
Sm C Se Br
4 1 2 1
Direct
0.213 0.000 0.204
0.233 0.500 0.791
0.767 0.500 0.209
0.787 0.000 0.796
0.000 0.500 0.000
0.500 0.000 0.000
0.500 0.500 0.500
0.000 0.000 0.500
```

Computed properties:
**Calculated density**: 7.3 g/cm3
**Formation energy (no corrections)**: -1.2800 eV/atom
**Magnetic moment**: 0.00 μB per cell



HoEr4Ag: optimized geometry, PBE-GGA.

```
HoEr4Ag
1.0
2.685 -10.337 0.000
2.685 10.337 0.000
0.000 0.000 6.359
Ho Er Ag
2 8 2
Direct
0.135 0.865 0.500
0.865 0.135 0.000
0.066 0.934 0.004
0.257 0.743 0.128
0.323 0.677 0.640
0.465 0.535 0.836
0.535 0.465 0.336
0.677 0.323 0.140
0.743 0.257 0.628
0.934 0.066 0.504
0.397 0.603 0.246
0.603 0.397 0.746
```

Computed properties:
**Distance to the lowest polymorph of the same formula**: 126 meV per atom
**Calculated density**: 8.9 g/cm3
**Magnetic moment**: 0.00 μB per cell
**ΔE_f**: 0.05 eV per atom



- Which formula does entry 5 have?
  BeAlCu6



- Number 8 is which compound?
  HoEr4Ag



- Look up the magnetic moment of the eighth one.
  0.00 μB per cell